# PBE RbLaTc2, optimized geometry
# ΔE_f   494 kJ/mol of formula units
data_RbLaTc2
_chemical_formula_sum 'Rb4 La4 Tc8'
_cell_length_a 4.793
_cell_length_b 4.793
_cell_length_c 20.395
_cell_angle_alpha 90.00
_cell_angle_beta 90.00
_cell_angle_gamma 90.00
_space_group_name_H-M_alt 'I -4 2 d'
_space_group_IT_number 122
_space_group_name_Hall 'I -4 2bw'
loop_
_atom_site_label
_atom_site_type_symbol
_atom_site_fract_x
_atom_site_fract_y
_atom_site_fract_z
Rb1 Rb 0.000 0.000 0.000
La1 La 0.000 0.000 0.500
Tc1 Tc 0.066 0.250 0.625

# PBE RbLaTe2, optimized geometry
# Formation energy without anion corrections   -25.9 kcal/mol of atoms
data_RbLaTe2
_chemical_formula_sum 'Rb1 La1 Te2'
_cell_length_a 5.772
_cell_length_b 5.772
_cell_length_c 4.105
_cell_angle_alpha 90.00
_cell_angle_beta 90.00
_cell_angle_gamma 90.00
_space_group_name_H-M_alt 'P 4/m m m'
_space_group_IT_number 123
_space_group_name_Hall '-P 4 2'
loop_
_atom_site_label
_atom_site_type_symbol
_atom_site_fract_x
_atom_site_fract_y
_atom_site_fract_z
Rb1 Rb 0.000 0.000 0.000
La1 La 0.500 0.500 0.000
Te1 Te 0.000 0.500 0.500

# PBE RbLaTe2, optimized geometry
# Formation energy without anion corrections   -32.4 kcal/mol of atoms
data_RbLaTe2
_chemical_formula_sum 'Rb1 La1 Te2'
_cell_length_a 4.7829
_cell_length_b 4.7829
_cell_length_c 9.2991
_cell_angle_alpha 90.00
_cell_angle_beta 90.00
_cell_angle_gamma 120.00
_space_group_name_H-M_alt 'P 3 m 1'
_space_group_IT_number 156
loop_
_space_group_symop_operation_xyz
'x,y,z'
'-y,x-y,z'
'-x+y,-x,z'
'-y,-x,z'
'-x+y,y,z'
'x,x-y,z'
loop_
_atom_site_label
_atom_site_type_symbol
_atom_site_fract_x
_atom_site_fract_y
_atom_site_fract_z
Rb1 Rb 0.0000 0.0000 0.0000
La1 La 0.6667 0.3333 0.5560
Te1 Te 0.0000 0.0000 0.3798
Te2 Te 0.3333 0.6667 0.7531

# PBE RbLaTe2, optimized geometry
# Formation energy without anion corrections   -33.1 kcal/mol of atoms
data_RbLaTe2
_chemical_formula_sum 'Rb4 La4 Te8'
_cell_length_a 12.029
_cell_length_b 4.623
_cell_length_c 16.607
_cell_angle_alpha 90.00
_cell_angle_beta 133.62
_cell_angle_gamma 90.00
_space_group_name_H-M_alt 'P 1 21/c 1'
_space_group_IT_number 14
loop_
_space_group_symop_operation_xyz
'x,y,z'
'-x,-y,-z'
'-x,y+1/2,-z+1/2'
'x,-y+1/2,z+1/2'
loop_
_atom_site_label
_atom_site_type_symbol
_atom_site_fract_x
_atom_site_fract_y
_atom_site_fract_z
Rb1 Rb 0.075 0.249 0.413
La1 La 0.432 0.249 0.841
Te1 Te 0.293 0.749 0.652
Te2 Te 0.293 0.749 0.891

# PBE RbLaTe2, optimized geometry
# Formation energy without anion corrections   -29.9 kcal/mol of atoms
data_RbLaTe2
_chemical_formula_sum 'Rb4 La4 Te8'
_cell_length_a 8.676
_cell_length_b 4.404
_cell_length_c 16.173
_cell_angle_alpha 90.00
_cell_angle_beta 90.00
_cell_angle_gamma 90.00
_space_group_name_H-M_alt 'P n m a'
_space_group_IT_number 62
loop_
_space_group_symop_operation_xyz
'x,y,z'
'-x,-y,-z'
'-x+1/2,-y,z+1/2'
'x+1/2,y,-z+1/2'
'x+1/2,-y+1/2,-z+1/2'
'-x+1/2,y+1/2,z+1/2'
'-x,y+1/2,-z'
'x,-y+1/2,z'
loop_
_atom_site_label
_atom_site_type_symbol
_atom_site_fract_x
_atom_site_fract_y
_atom_site_fract_z
Rb1 Rb 0.074 0.250 0.087
La1 La 0.066 0.750 0.351
Te1 Te 0.171 0.750 0.745
Te2 Te 0.178 0.250 0.483

# PBE RbLa2Te, optimized geometry
# Formation energy without anion corrections   -4.4 kcal/mol of atoms
data_RbLa2Te
_chemical_formula_sum 'Rb4 La8 Te4'
_cell_length_a 9.854
_cell_length_b 9.854
_cell_length_c 7.222
_cell_angle_alpha 90.00
_cell_angle_beta 90.00
_cell_angle_gamma 90.00
_space_group_name_H-M_alt 'I -4 2 d'
_space_group_IT_number 122
_space_group_name_Hall 'I -4 2bw'
loop_
_atom_site_label
_atom_site_type_symbol
_atom_site_fract_x
_atom_site_fract_y
_atom_site_fract_z
Rb1 Rb 0.000 0.000 0.000
La1 La 0.183 0.250 0.625
Te1 Te 0.000 0.000 0.500

# PBE RbLaTe2, optimized geometry
# Formation energy without anion corrections   -30.6 kcal/mol of atoms
data_RbLaTe2
_chemical_formula_sum 'Rb4 La4 Te8'
_cell_length_a 4.967
_cell_length_b 30.599
_cell_length_c 4.373
_cell_angle_alpha 90.00
_cell_angle_beta 90.00
_cell_angle_gamma 90.00
_space_group_name_H-M_alt 'C m c m'
_space_group_IT_number 63
_space_group_name_Hall '-C 2c 2'
loop_
_atom_site_label
_atom_site_type_symbol
_atom_site_fract_x
_atom_site_fract_y
_atom_site_fract_z
Rb1 Rb 0.000 0.065 0.250
La1 La 0.000 0.315 0.750
Te1 Te 0.000 0.208 0.750
Te2 Te 0.000 0.395 0.250

# PBE RbLaTe2, optimized geometry
# Formation energy without anion corrections   -31.7 kcal/mol of atoms
data_RbLaTe2
_chemical_formula_sum 'Rb4 La4 Te8'
_cell_length_a 8.735
_cell_length_b 5.113
_cell_length_c 16.182
_cell_angle_alpha 90.00
_cell_angle_beta 90.00
_cell_angle_gamma 90.00
_space_group_name_H-M_alt 'P n m a'
_space_group_IT_number 62
loop_
_space_group_symop_operation_xyz
'x,y,z'
'-x,-y,-z'
'-x+1/2,-y,z+1/2'
'x+1/2,y,-z+1/2'
'x+1/2,-y+1/2,-z+1/2'
'-x+1/2,y+1/2,z+1/2'
'-x,y+1/2,-z'
'x,-y+1/2,z'
loop_
_atom_site_label
_atom_site_type_symbol
_atom_site_fract_x
_atom_site_fract_y
_atom_site_fract_z
Rb1 Rb 0.091 0.250 0.138
La1 La 0.082 0.750 0.386
Te1 Te 0.157 0.250 0.755
Te2 Te 0.204 0.250 0.482

# PBE RbLaTe2, optimized geometry
# Formation energy without anion corrections   -30.9 kcal/mol of atoms
data_RbLaTe2
_chemical_formula_sum 'Rb1 La1 Te2'
_cell_length_a 4.062
_cell_length_b 4.062
_cell_length_c 8.799
_cell_angle_alpha 90.00
_cell_angle_beta 90.00
_cell_angle_gamma 90.00
_space_group_name_H-M_alt 'P 4/m m m'
_space_group_IT_number 123
_space_group_name_Hall '-P 4 2'
loop_
_atom_site_label
_atom_site_type_symbol
_atom_site_fract_x
_atom_site_fract_y
_atom_site_fract_z
Rb1 Rb 0.000 0.000 0.000
La1 La 0.000 0.000 0.500
Te1 Te 0.500 0.500 0.290

# PBE RbLaTe2, optimized geometry
# Formation energy without anion corrections   -34.0 kcal/mol of atoms
data_RbLaTe2
_chemical_formula_sum 'Rb2 La2 Te4'
_cell_length_a 8.166
_cell_length_b 4.717
_cell_length_c 9.121
_cell_angle_alpha 90.00
_cell_angle_beta 107.39
_cell_angle_gamma 90.00
_space_group_name_H-M_alt 'C 1 m 1'
_space_group_IT_number 8
loop_
_space_group_symop_operation_xyz
'x,y,z'
'x,-y,z'
'x+1/2,y+1/2,z'
'x+1/2,-y+1/2,z'
loop_
_atom_site_label
_atom_site_type_symbol
_atom_site_fract_x
_atom_site_fract_y
_atom_site_fract_z
Rb1 Rb 0.000 0.000 0.000
La1 La 0.169 0.000 0.508
Te1 Te 0.070 0.500 0.712
Te2 Te 0.267 0.500 0.302

# PBE RbLaTe2, optimized geometry
# Formation energy without anion corrections   -26.4 kcal/mol of atoms
data_RbLaTe2
_chemical_formula_sum 'Rb1 La1 Te2'
_cell_length_a 5.1768
_cell_length_b 5.1768
_cell_length_c 8.8303
_cell_angle_alpha 90.00
_cell_angle_beta 90.00
_cell_angle_gamma 120.00
_space_group_name_H-M_alt 'P 3 m 1'
_space_group_IT_number 156
loop_
_space_group_symop_operation_xyz
'x,y,z'
'-y,x-y,z'
'-x+y,-x,z'
'-y,-x,z'
'-x+y,y,z'
'x,x-y,z'
loop_
_atom_site_label
_atom_site_type_symbol
_atom_site_fract_x
_atom_site_fract_y
_atom_site_fract_z
Rb1 Rb 0.0000 0.0000 0.0000
La1 La 0.3333 0.6667 0.4613
Te1 Te 0.3333 0.6667 0.7864
Te2 Te 0.6667 0.3333 0.3220

# PBE RbLaTe2, optimized geometry
# Formation energy without anion corrections   -29.1 kcal/mol of atoms
data_RbLaTe2
_chemical_formula_sum 'Rb16 La16 Te32'
_cell_length_a 13.484
_cell_length_b 13.484
_cell_length_c 17.939
_cell_angle_alpha 90.00
_cell_angle_beta 100.58
_cell_angle_gamma 90.00
_space_group_name_H-M_alt 'C 1 2/c 1'
_space_group_IT_number 15
loop_
_space_group_symop_operation_xyz
'x,y,z'
'-x,-y,-z'
'-x,y,-z+1/2'
'x,-y,z+1/2'
'x+1/2,y+1/2,z'
'-x+1/2,-y+1/2,-z'
'-x+1/2,y+1/2,-z+1/2'
'x+1/2,-y+1/2,z+1/2'
loop_
_atom_site_label
_atom_site_type_symbol
_atom_site_fract_x
_atom_site_fract_y
_atom_site_fract_z
Rb1 Rb 0.029 0.185 0.371
Rb2 Rb 0.221 0.436 0.131
La1 La 0.098 0.189 0.642
La2 La 0.151 0.438 0.857
Te1 Te 0.000 0.056 0.750
Te2 Te 0.000 0.428 0.250
Te3 Te 0.055 0.312 0.968
Te4 Te 0.196 0.062 0.534
Te5 Te 0.242 0.186 0.250

In states/eV per cell, the D(E_F) values for the records above are, in order, 23.59; 0.26; 0.00; 0.00; 0.00; 27.70; 0.00; 0.00; 0.62; 0.00; 0.00; 0.00.
In g/cm3, the density values for the records above are, in order, 5.96; 5.82; 4.32; 4.76; 5.15; 4.65; 4.79; 4.41; 5.48; 4.75; 3.89; 3.97.